PBE TbSmAg2Pb2, relaxed; total energy = -25.02 eV per formula unit; total magnetization = 0.0 μB/f.u.
1.0
4.834 0.000 0.000
-2.417 4.186 0.000
0.000 0.000 7.507
Tb Sm Ag Pb
1 1 2 2
direct
0.000 0.000 0.000
0.000 0.000 0.499
0.333 0.667 0.692
0.667 0.333 0.186
0.333 0.667 0.277
0.667 0.333 0.782